[1]
VASP calculation (PBE-GGA) on BaPuZn2O6 after structural relaxation.

Calculated values
formation energy without anion corrections: -2.097 eV/atom
E_tot: -6.9518 eV per atom
total magnetization: 0.20 μB/atom

Unit cell a=6.597 b=7.513 c=7.513 alpha=87.01 beta=74.17 gamma=74.17
Atoms (fractional coordinates):
Ba: 0.250 0.902 0.098
Ba: 0.750 0.098 0.902
Pu: 0.250 0.284 0.716
Pu: 0.750 0.716 0.284
Zn: 0.377 0.763 0.637
Zn: 0.123 0.363 0.237
Zn: 0.623 0.237 0.363
Zn: 0.877 0.637 0.763
O: 0.210 0.005 0.757
O: 0.290 0.243 0.995
O: 0.790 0.995 0.243
O: 0.710 0.757 0.005
O: 0.432 0.786 0.360
O: 0.068 0.640 0.214
O: 0.568 0.214 0.640
O: 0.932 0.360 0.786
O: 0.207 0.584 0.720
O: 0.293 0.280 0.416
O: 0.793 0.416 0.280
O: 0.707 0.720 0.584

=====

[2]
VASP calculation (PBE-GGA) on LaV2Se after structural relaxation.

Calculated values
formation energy without anion corrections: 0.202 eV/atom
E_tot: -6.4599 eV per atom
total magnetization: 0.86 μB/atom

Unit cell a=7.795 b=7.795 c=6.239 alpha=51.34 beta=51.34 gamma=90.00
Atoms (fractional coordinates):
La: 0.000 0.000 0.000
La: 0.750 0.250 0.500
Se: 0.500 0.500 0.000
Se: 0.250 0.750 0.500
V: 0.538 0.125 0.250
V: 0.212 0.625 0.250
V: 0.375 0.462 0.750
V: 0.875 0.788 0.750

=====

[3]
VASP calculation (PBE-GGA) on Sr2SbMo after structural relaxation.

Calculated values
formation energy without anion corrections: 0.370 eV/atom
E_tot: -4.2093 eV per atom
total magnetization: 0.86 μB/atom

Unit cell a=5.913 b=5.913 c=5.913 alpha=129.92 beta=129.92 gamma=73.54
Atoms (fractional coordinates):
Mo: 0.250 0.750 0.500
Sb: 0.750 0.250 0.500
Sr: 0.000 0.000 0.000
Sr: 0.500 0.500 0.000

=====

[4]
VASP calculation (PBE-GGA) on CrP2Rh after structural relaxation.

Calculated values
energy relative to the elements: -0.229 eV per atom
E above lowest polymorph: 160 meV/atom
E_tot: -7.1774 eV per atom
total magnetization: 0.10 μB/atom

Unit cell a=7.357 b=7.357 c=7.357 alpha=22.49 beta=22.49 gamma=22.49
Atoms (fractional coordinates):
Cr: 0.750 0.750 0.750
P: 0.005 0.005 0.005
P: 0.495 0.495 0.495
Rh: 0.250 0.250 0.250

=====

[5]
VASP calculation (PBE-GGA) on Hg4TePBr2 after structural relaxation.

Calculated values
formation energy without anion corrections: -0.036 eV/atom
E_tot: -1.6741 eV per atom
total magnetization: 0.00 μB/atom

Unit cell a=8.956 b=8.956 c=8.260 alpha=117.79 beta=117.79 gamma=98.88
Atoms (fractional coordinates):
Hg: 0.192 0.798 0.997
Hg: 0.702 0.308 0.503
Hg: 0.298 0.692 0.497
Hg: 0.808 0.202 0.003
Hg: 0.767 0.736 0.976
Hg: 0.764 0.733 0.524
Hg: 0.236 0.267 0.476
Hg: 0.233 0.264 0.024
Te: 0.000 0.500 0.000
Te: 0.000 0.500 0.500
P: 0.500 0.500 0.500
P: 0.000 0.000 0.000
Br: 0.500 0.000 0.000
Br: 0.500 0.000 0.500
Br: 0.000 0.000 0.500
Br: 0.500 0.500 0.000

=====

[6]
VASP calculation (PBE-GGA) on La3Er2Tm2 after structural relaxation.

Calculated values
energy relative to the elements: 0.115 eV per atom
E above lowest polymorph: 0 meV/atom
E_tot: -4.5781 eV per atom
total magnetization: 0.00 μB/atom

Unit cell a=3.501 b=8.568 c=9.011 alpha=117.77 beta=101.20 gamma=90.00
Atoms (fractional coordinates):
La: 0.000 0.500 0.000
La: 0.214 0.795 0.428
La: 0.786 0.205 0.572
Er: 0.861 0.685 0.723
Er: 0.139 0.315 0.277
Tm: 0.564 0.911 0.129
Tm: 0.436 0.089 0.871

=====

[7]
VASP calculation (PBE-GGA) on ZrCu2Si after structural relaxation.

Calculated values
formation energy without anion corrections: -0.060 eV/atom
E_tot: -5.6013 eV per atom
total magnetization: 0.00 μB/atom

Unit cell a=5.214 b=5.214 c=5.214 alpha=146.09 beta=128.63 gamma=62.99
Atoms (fractional coordinates):
Cu: 0.019 0.019 0.000
Cu: 0.269 0.769 0.500
Si: 0.476 0.476 0.000
Zr: 0.736 0.236 0.500

=====

[8]
VASP calculation (PBE-GGA) on ScHgRh after structural relaxation.

Calculated values
energy relative to the elements: -0.414 eV per atom
E_tot: -5.0761 eV per atom
total magnetization: 0.00 μB/atom

Unit cell a=4.535 b=4.535 c=3.133 alpha=90.00 beta=90.00 gamma=120.00
Atoms (fractional coordinates):
Hg: 0.000 0.000 0.022
Rh: 0.333 0.667 0.381
Sc: 0.667 0.333 0.597

=====

[9]
VASP calculation (PBE-GGA) on GaAgPtPb after structural relaxation.

Calculated values
energy relative to the elements: -0.133 eV per atom
E above lowest polymorph: 52 meV/atom
E_tot: -4.0394 eV per atom
total magnetization: 0.00 μB/atom

Unit cell a=3.304 b=3.308 c=7.340 alpha=90.00 beta=90.11 gamma=90.00
Atoms (fractional coordinates):
Ga: 0.348 0.000 0.211
Ag: 0.849 0.500 0.446
Pt: 0.847 0.500 0.053
Pb: 0.348 0.000 0.759

=====

[10]
VASP calculation (PBE-GGA) on MnCdIn2 after structural relaxation.

Calculated values
energy relative to the elements: 0.217 eV per atom
E_tot: -3.6729 eV per atom
total magnetization: 0.88 μB/atom

Unit cell a=3.205 b=4.259 c=6.257 alpha=90.00 beta=90.00 gamma=90.00
Atoms (fractional coordinates):
Cd: 0.500 0.500 0.750
In: 0.000 0.000 0.016
In: 0.000 0.000 0.484
Mn: 0.500 0.500 0.250

=====

[11]
VASP calculation (PBE-GGA) on LaMgZr2N after structural relaxation.

Calculated values
formation energy without anion corrections: -0.569 eV/atom
E_tot: -6.9580 eV per atom
total magnetization: 0.00 μB/atom

Unit cell a=4.569 b=4.569 c=5.130 alpha=90.00 beta=90.00 gamma=90.00
Atoms (fractional coordinates):
Mg: 0.500 0.500 0.500
N: 0.000 0.000 0.000
Zr: 0.000 0.500 0.000
Zr: 0.500 0.000 0.000
La: 0.000 0.000 0.500

=====

[12]
VASP calculation (PBE-GGA) on Ca2Bi2P after structural relaxation.

Calculated values
energy relative to the elements: -0.384 eV per atom
E_tot: -3.8190 eV per atom
total magnetization: 0.00 μB/atom

Unit cell a=7.941 b=7.941 c=4.675 alpha=90.00 beta=90.00 gamma=90.00
Atoms (fractional coordinates):
P: 0.000 0.000 0.000
P: 0.500 0.500 0.000
Ca: 0.167 0.667 0.500
Ca: 0.667 0.833 0.500
Ca: 0.833 0.333 0.500
Ca: 0.333 0.167 0.500
Bi: 0.356 0.856 0.000
Bi: 0.856 0.644 0.000
Bi: 0.644 0.144 0.000
Bi: 0.144 0.356 0.000